This record from the Alexandria database describes a relaxed RbAg2Ru crystal. The functional is PBE.

Calculated values
Crystal system: tetragonal
ΔH_f (0 K) in eV per atom: 0.969
SG: I4_1/amd
Volume in Å³/atom: 34.14
Energy above the lowest structure with this stoichiometry in eV/f.u.: 0.00

abc: 9.916 9.916 9.916
angles: 147.98 147.98 45.91
Positions (direct):
Rb1 0.375 0.625 0.750
Rb2 0.625 0.375 0.250
Ag1 0.000 0.000 0.000
Ag2 0.000 0.000 0.500
Ag3 0.000 0.500 0.000
Ag4 0.500 0.000 0.500
Ru1 0.125 0.875 0.250
Ru2 0.875 0.125 0.750

This record from the Alexandria database describes a relaxed RbAg2Ru crystal. The functional is PBE.

Calculated values
Crystal system: cubic
ΔH_f (0 K) in eV per atom: 1.101
SG: Fm-3m
Volume in Å³/atom: 23.41
Energy above the lowest structure with this stoichiometry in eV/f.u.: 0.53

abc: 5.097 5.097 5.097
angles: 60.00 60.00 60.00
Positions (direct):
Rb1 0.000 0.000 0.000
Ag1 0.250 0.250 0.250
Ag2 0.750 0.750 0.750
Ru1 0.500 0.500 0.500

This record from the Alexandria database describes a relaxed RbTcAgRu2 crystal. The functional is PBE.

Calculated values
Crystal system: tetragonal
ΔH_f (0 K) in eV per atom: 3.037
SG: P4/mmm
Volume in Å³/atom: 21.80

abc: 4.752 4.752 4.826
angles: 90.00 90.00 90.00
Positions (direct):
Rb1 0.000 0.000 0.000
Tc1 0.000 0.000 0.500
Ag1 0.500 0.500 0.500
Ru1 0.000 0.500 0.000
Ru2 0.500 0.000 0.000